The following is a DFT calculation (GGA-PBE) of an optimized crystal structure of NdCoPH.

Computed properties:
- Uncorrected energy: -6.09 eV/atom
- Size of the total moment: 0.42 μB per formula unit

Cell: 3.8002 3.8002 7.9890 Å, 90.00 90.00 90.00°
Fractional coordinates of all 8 atoms:
Nd1 0.2500 0.2500 0.1808
Nd2 0.7500 0.7500 0.8192
Co1 0.2500 0.7500 0.5000
Co2 0.7500 0.2500 0.5000
P1 0.2500 0.2500 0.6488
P2 0.7500 0.7500 0.3512
H1 0.2500 0.7500 0.0000
H2 0.7500 0.2500 0.0000